(1)
5
Lattice="3.9343 0.0000 0.0000 0.0000 3.9343 0.0000 0.0000 0.0000 3.9343" Properties=species:S:1:pos:R:3 comment="AgB3Cl (PBE, relaxed)" raw_formation_energy_ev_per_atom=2.321 e_above_lowest_polymorph_mev_per_atom=440 pbc="T T T"
Ag 0.0000 0.0000 0.0000
B 0.0000 1.9672 1.9672
B 1.9672 0.0000 1.9672
B 1.9672 1.9672 0.0000
Cl 1.9672 1.9672 1.9672

(2)
4
Lattice="2.9567 0.0000 0.0000 0.0000 4.1306 0.0000 0.0000 0.0000 5.1707" Properties=species:S:1:pos:R:3 comment="ReAsW2 (PBE, relaxed)" formation_enthalpy_0k_ev_per_atom=0.35 pbc="T T T"
Re 0.0000 0.0000 0.0000
As 1.4783 2.0653 3.8519
W 0.0000 0.0000 2.5942
W 1.4783 2.0653 1.2356

(3)
8
Lattice="3.1479 0.0000 0.0000 0.0000 2.9830 0.0000 0.0000 0.0000 14.4377" Properties=species:S:1:pos:R:3 comment="TiZnNiCl (PBE, relaxed)" raw_formation_energy_ev_per_atom=-0.504 e_above_lowest_polymorph_mev_per_atom=0 pbc="T T T"
Ti 0.0000 0.0000 0.0000
Ti 0.0000 1.4915 7.2188
Zn 0.0000 0.0000 2.7255
Zn 0.0000 1.4915 9.9443
Ni 1.5740 0.0000 8.5582
Ni 1.5740 1.4915 1.3393
Cl 0.0000 0.0000 5.2906
Cl 0.0000 1.4915 12.5094

(4)
22
Lattice="2.9544 -4.8483 0.0000 2.9544 4.8483 0.0000 0.0000 0.0000 25.9419" Properties=species:S:1:pos:R:3 comment="LaPm6Dy4 (PBE, relaxed)" e_above_lowest_polymorph_mev_per_atom=0 formation_enthalpy_0k_ev_per_atom=0.11 pbc="T T T"
La 2.9544 2.7482 19.4564
La 2.9544 -2.7482 6.4855
Pm 2.9544 3.7168 4.6726
Pm 2.9544 3.7168 8.2984
Pm 2.9544 2.8711 15.5363
Pm 2.9544 2.8711 23.3765
Pm 2.9544 0.5579 6.4855
Pm 2.9544 0.0000 0.0000
Pm 2.9544 0.0000 12.9709
Pm 2.9544 -0.5579 19.4564
Pm 2.9544 -2.8711 2.5654
Pm 2.9544 -2.8711 10.4056
Pm 2.9544 -3.7168 17.6435
Pm 2.9544 -3.7168 21.2693
Dy 2.9544 3.4085 1.1178
Dy 2.9544 3.4085 11.8532
Dy 2.9544 0.4775 3.1982
Dy 2.9544 0.4775 9.7727
Dy 2.9544 -0.4775 16.1691
Dy 2.9544 -0.4775 22.7437
Dy 2.9544 -3.4085 14.0887
Dy 2.9544 -3.4085 24.8241

(5)
9
Lattice="6.4100 -1.8632 0.0000 6.4100 1.8632 0.0000 -4.0720 0.0000 11.3978" Properties=species:S:1:pos:R:3 comment="Nd6DyZn2 (PBE, relaxed)" formation_enthalpy_0k_ev_per_atom=-0.13 pbc="T T T"
Nd -0.9677 0.0000 3.7150
Nd 3.4851 0.0000 1.4150
Nd 2.3386 0.0000 4.6490
Nd 6.4094 0.0000 6.7488
Nd 5.2629 0.0000 9.9828
Nd 9.7156 0.0000 7.6828
Dy 0.0000 0.0000 0.0000
Zn 1.2859 0.0000 9.1890
Zn 7.4620 0.0000 2.2087

(6)
10
Lattice="5.9476 -2.2113 0.0000 5.9476 2.2113 0.0000 -5.3976 0.0000 10.5308" Properties=species:S:1:pos:R:3 comment="Ac2Ga2Pt (PBE, relaxed)" formation_enthalpy_0k_ev_per_atom=-0.78 pbc="T T T"
Ac -0.9599 0.0000 4.0612
Ac -1.2198 0.0000 9.0264
Ac 7.7175 0.0000 1.5044
Ac 7.4576 0.0000 6.4696
Ga -4.5090 0.0000 9.6601
Ga 2.4641 0.0000 4.0710
Ga 4.0336 0.0000 6.4598
Ga 11.0067 0.0000 0.8707
Pt 4.1724 0.0000 1.9601
Pt 2.3253 0.0000 8.5707

(7)
16
Lattice="2.1919 -5.7313 0.0000 2.1919 5.7313 0.0000 0.0000 0.0000 16.2809" Properties=species:S:1:pos:R:3 comment="Sr3Ga3Pd2 (PBE, relaxed)" formation_enthalpy_0k_ev_per_atom=-0.60 pbc="T T T"
Sr 2.1919 5.0675 9.8671
Sr 2.1919 5.0675 14.5542
Sr 2.1919 1.7017 12.2106
Sr 2.1919 -1.7017 4.0702
Sr 2.1919 -5.0675 1.7267
Sr 2.1919 -5.0675 6.4137
Ga 2.1919 1.9095 8.7330
Ga 2.1919 1.9095 15.6883
Ga 2.1919 1.7052 4.0702
Ga 2.1919 -1.7052 12.2106
Ga 2.1919 -1.9095 0.5926
Ga 2.1919 -1.9095 7.5479
Pd 2.1919 3.0959 1.7821
Pd 2.1919 3.0959 6.3583
Pd 2.1919 -3.0959 9.9225
Pd 2.1919 -3.0959 14.4987

(8)
12
Lattice="2.8626 0.0000 0.0000 -1.4313 2.4791 0.0000 0.0000 0.0000 26.7861" Properties=species:S:1:pos:R:3 comment="ScRu2Pt (PBE, relaxed)" formation_enthalpy_0k_ev_per_atom=-0.06 pbc="T T T"
Sc 0.0000 0.0000 0.0000
Sc 0.0000 1.6527 17.8574
Sc 1.4313 0.8264 8.9287
Ru 0.0000 0.0000 6.6187
Ru 0.0000 0.0000 13.5499
Ru 0.0000 1.6527 4.6212
Ru 0.0000 1.6527 24.4762
Ru 1.4313 0.8264 15.5475
Ru 1.4313 0.8264 22.4786
Pt 0.0000 0.0000 20.1194
Pt 0.0000 1.6527 11.1906
Pt 1.4313 0.8264 2.2619

(9)
5
Lattice="4.5146 0.0000 0.0000 0.0000 4.5146 0.0000 0.0000 0.0000 4.3935" Properties=species:S:1:pos:R:3 comment="LiRePPt2 (PBE, relaxed)" formation_enthalpy_0k_ev_per_atom=0.26 pbc="T T T"
Li 0.0000 0.0000 0.0000
Re 2.2573 2.2573 0.0000
P 2.2573 2.2573 2.1968
Pt 0.0000 2.2573 2.1968
Pt 2.2573 0.0000 2.1968

(10)
16
Lattice="7.3744 0.0000 0.0000 0.0000 7.3744 0.0000 0.0000 0.0000 8.7249" Properties=species:S:1:pos:R:3 comment="RbNa2SnS4 (PBE, relaxed)" raw_formation_energy_ev_per_atom=-0.757 pbc="T T T"
Rb 0.0000 0.0000 0.0000
Rb 3.6872 3.6872 4.3625
Na 0.0000 3.6872 2.1812
Na 0.0000 3.6872 6.5437
Na 3.6872 0.0000 2.1812
Na 3.6872 0.0000 6.5437
Sn 0.0000 0.0000 4.3625
Sn 3.6872 3.6872 0.0000
S 1.4141 1.4141 3.0087
S 1.4141 5.9603 5.7162
S 2.2731 2.2731 7.3712
S 2.2731 5.1012 1.3538
S 5.1012 2.2731 1.3538
S 5.1012 5.1012 7.3712
S 5.9603 1.4141 5.7162
S 5.9603 5.9603 3.0087

(11)
12
Lattice="3.1491 0.0000 0.0000 -1.5745 2.7272 0.0000 0.0000 0.0000 31.4171" Properties=species:S:1:pos:R:3 comment="LaHg2Mo (PBE, relaxed)" e_above_lowest_polymorph_mev_per_atom=194 formation_enthalpy_0k_ev_per_atom=0.44 pbc="T T T"
La 0.0000 0.0000 0.0000
La 0.0000 1.8181 20.9448
La 1.5745 0.9091 10.4724
Hg 0.0000 0.0000 7.5709
Hg 0.0000 0.0000 23.8463
Hg 0.0000 1.8181 13.3739
Hg 0.0000 1.8181 28.5156
Hg 1.5745 0.9091 2.9015
Hg 1.5745 0.9091 18.0433
Mo 0.0000 0.0000 15.7086
Mo 0.0000 1.8181 5.2362
Mo 1.5745 0.9091 26.1809

(12)
5
Lattice="5.1058 0.0000 0.0000 0.0000 5.1058 0.0000 0.0000 0.0000 5.1058" Properties=species:S:1:pos:R:3 comment="Si3BiW (PBE, relaxed)" raw_formation_energy_ev_per_atom=2.625 e_above_lowest_polymorph_mev_per_atom=1936 pbc="T T T"
Si 0.0000 0.0000 2.5529
Si 0.0000 2.5529 0.0000
Si 2.5529 0.0000 0.0000
Bi 0.0000 0.0000 0.0000
W 2.5529 2.5529 2.5529

no.,theoretical density (g/cm3)
1,4.79
2,16.53
3,5.08
4,7.41
5,7.07
6,9.45
7,5.56
8,11.59
9,11.39
10,2.65
11,11.74
12,5.95